Entry 1:
## Cs2GaS2 (GGA-PBE)

Data for an optimized crystal structure of Cs2GaS2. Values from VASP.

```
&SYSTEM
  ibrav = 0, nat = 10, ntyp = 3
/
ATOMIC_SPECIES
Cs 132.91 Cs.upf
Ga 69.72 Ga.upf
S 32.06 S.upf
ATOMIC_POSITIONS crystal
Cs 0.153 0.347 0.000
Cs 0.347 0.847 0.000
Cs 0.653 0.153 0.000
Cs 0.847 0.653 0.000
Ga 0.000 0.000 0.500
Ga 0.500 0.500 0.500
S 0.183 0.683 0.500
S 0.317 0.183 0.500
S 0.683 0.817 0.500
S 0.817 0.317 0.500
CELL_PARAMETERS angstrom
7.825 0.000 0.000
0.000 7.825 0.000
0.000 0.000 5.440
```

Properties
Offset from the most stable computed form (eV/atom): 0.000
Formation energy without anion corrections (eV/atom): -0.45

Entry 2:
## VTcP2 (GGA-PBE)

Data for an optimized crystal structure of VTcP2. Values from VASP.

```
&SYSTEM
  ibrav = 0, nat = 4, ntyp = 3
/
ATOMIC_SPECIES
V 50.94 V.upf
Tc 98.00 Tc.upf
P 30.97 P.upf
ATOMIC_POSITIONS crystal
V 0.000 0.000 0.000
Tc 0.000 0.000 0.500
P 0.333 0.667 0.243
P 0.667 0.333 0.757
CELL_PARAMETERS angstrom
3.172 0.000 0.000
-1.586 2.747 0.000
0.000 0.000 6.258
```

Properties
Offset from the most stable computed form (eV/atom): 0.000
ΔE_f (eV/atom): -0.651

Entry 3:
## SbIrN2O (GGA-PBE)

Data for an optimized crystal structure of SbIrN2O. Values from VASP.

```
&SYSTEM
  ibrav = 0, nat = 5, ntyp = 4
/
ATOMIC_SPECIES
Sb 121.76 Sb.upf
Ir 192.22 Ir.upf
N 14.01 N.upf
O 16.00 O.upf
ATOMIC_POSITIONS crystal
Sb 0.000 0.000 0.000
Ir 0.500 0.500 0.500
N 0.000 0.500 0.500
N 0.500 0.000 0.500
O 0.500 0.500 0.000
CELL_PARAMETERS angstrom
3.878 0.000 0.000
0.000 3.878 0.000
0.000 0.000 4.197
```

Properties
Formation energy without anion corrections (eV/atom): 0.69